# 1
LiCuPdPb | GGA-PBE | optimized geometry

POSCAR file:
```
LiCuPdPb
1.0
-1.5917 -1.5459 3.9728
-3.0234 2.4574 2.3509
-4.3141 -1.4096 0.3291
Pd Cu Li Pb
1 1 1 1
Cartesian
-2.2323 -0.1245 1.6632
-6.6969 -0.3735 4.9896
-4.4646 -0.2490 3.3264
0.0000 0.0000 0.0000
```

- Relative energy among the computed polymorphs: 0.18 kcal/mol of atoms



# 2
Li4CuPtPb2 | GGA-PBE | optimized geometry

POSCAR file:
```
Li4CuPtPb2
1.0
4.5575 0.0000 0.0000
0.0000 4.5575 0.0000
0.0000 0.0000 6.4392
Pb Li Pt Cu
2 4 1 1
Cartesian
2.2787 0.0000 1.6488
0.0000 2.2787 4.7904
0.0000 0.0000 0.0000
2.2787 2.2787 3.2196
0.0000 2.2787 1.5779
2.2787 0.0000 4.8614
2.2787 2.2787 0.0000
0.0000 0.0000 3.2196
```

- Magnetic moment: 0.0 μB per cell



# 3
LiCuPtPb | GGA-PBE | optimized geometry

POSCAR file:
```
LiCuPtPb
1.0
0.0000 3.1881 3.1881
3.1881 0.0000 3.1881
3.1881 3.1881 0.0000
Pt Cu Li Pb
1 1 1 1
Cartesian
3.1881 3.1881 3.1881
4.7821 4.7821 4.7821
1.5940 1.5940 1.5940
0.0000 0.0000 0.0000
```

- Relative energy among the computed polymorphs: 0.00 kcal/mol of atoms
- Magnetic moment: 0.0 μB per cell



# 4
LiCuRePb | GGA-PBE | optimized geometry

POSCAR file:
```
LiCuRePb
1.0
0.0000 3.1643 3.1643
3.1643 0.0000 3.1643
3.1643 3.1643 0.0000
Li Pb Cu Re
1 1 1 1
Cartesian
1.5821 1.5821 1.5821
0.0000 0.0000 0.0000
4.7464 4.7464 4.7464
3.1643 3.1643 3.1643
```

- Relative energy among the computed polymorphs: 0.32 kcal/mol of atoms
- Magnetic moment: 1.5 μB per cell



# 5
LiCuRePb | GGA-PBE | optimized geometry

POSCAR file:
```
LiCuRePb
1.0
0.9949 -4.1268 -1.5421
0.0443 -3.5187 2.8311
-3.2252 -3.1507 -0.2629
Pb Cu Re Li
1 1 1 1
Cartesian
0.0000 0.0000 0.0000
-1.6396 -8.0972 0.7696
-0.5465 -2.6991 0.2565
-1.0930 -5.3981 0.5131
```

- Relative energy among the computed polymorphs: 0.00 kcal/mol of atoms
- Magnetic moment: 0.2 μB per cell



# 6
LiCu3PbS4 | GGA-PBE | optimized geometry

POSCAR file:
```
LiCu3PbS4
1.0
5.6753 0.0000 0.0000
0.0000 5.6753 0.0000
0.0000 0.0000 5.6753
Cu S Li Pb
3 4 1 1
Cartesian
2.8377 2.8377 0.0000
2.8377 0.0000 2.8377
0.0000 2.8377 2.8377
1.3676 1.3676 1.3676
4.3077 4.3077 1.3676
4.3077 1.3676 4.3077
1.3676 4.3077 4.3077
0.0000 0.0000 0.0000
2.8377 2.8377 2.8377
```



# 7
LiCuPbSeS2 | GGA-PBE | optimized geometry

POSCAR file:
```
LiCuPbSeS2
1.0
1.8965 -5.8457 0.0000
1.8965 5.8457 0.0000
0.0000 0.0000 11.5101
Pb Se Cu S Li
2 2 2 4 2
Cartesian
1.8965 0.0000 0.0000
1.8965 0.0000 5.7551
1.8965 1.0988 2.8775
1.8965 -1.0988 8.6326
1.8965 -5.4362 8.6326
1.8965 5.4362 2.8775
1.8965 -4.0608 6.8396
1.8965 -4.0608 10.4256
1.8965 4.0608 4.6705
1.8965 4.0608 1.0845
1.8965 2.5788 8.6326
1.8965 -2.5788 2.8775
```



# 8
LiCuPbSe2S | GGA-PBE | optimized geometry

POSCAR file:
```
LiCuPbSe2S
1.0
-0.0213 6.0506 3.6206
-0.0961 -7.0485 0.1697
10.5027 -0.1362 0.2894
Se Cu Pb S Li
4 2 2 2 2
Cartesian
1.3388 1.4951 2.4634
3.8181 1.4630 2.5317
9.0465 -2.6292 1.6163
6.5672 -2.5970 1.5480
7.8188 -0.5224 2.1329
2.5665 -0.6116 1.9468
0.0000 0.0000 0.0000
5.2514 -0.0681 0.1447
2.5971 4.7492 3.3591
7.7882 -5.8832 0.7206
2.5503 -3.4624 1.1958
7.8351 2.3284 2.8840
```



# 9
LiCuTePbS2 | GGA-PBE | optimized geometry

POSCAR file:
```
LiCuTePbS2
1.0
-0.2498 2.6150 6.1211
-1.9146 -4.9049 -4.0797
9.4480 -6.2182 3.0421
S Pb Li Cu Te
4 2 2 2 2
Cartesian
0.0509 -0.7056 2.7151
7.2326 -7.8027 2.3684
2.9667 -2.6246 3.6539
4.3169 -5.8836 1.4296
0.0000 0.0000 0.0000
4.7240 -3.1091 1.5210
6.5198 -3.4777 6.4642
0.7637 -5.0305 -1.3808
1.3336 -2.4562 2.1114
5.9499 -6.0521 2.9721
1.9265 0.2218 5.7441
5.3570 -8.7300 -0.6606
```



# 10
LiCuTe2PbS | GGA-PBE | optimized geometry

POSCAR file:
```
LiCuTe2PbS
1.0
-1.1119 2.3125 6.6543
-2.7637 -3.0051 -5.8476
2.5725 -9.8911 3.8673
Li Cu Te S Pb
2 2 4 2 2
Cartesian
-0.3368 -8.8219 0.8182
-0.9663 -1.7618 3.8557
0.0067 -7.7162 3.4176
-1.3097 -2.8675 1.2563
-1.9244 -2.4069 -1.3019
-1.2337 -5.0627 -0.2635
-0.0693 -5.5211 4.9374
0.6214 -8.1768 5.9758
-1.9937 -5.0697 -3.9212
0.6907 -5.5140 8.5951
0.0000 0.0000 0.0000
1.2863 -4.9456 1.9336
```



# 11
LiCuPbSe3 | GGA-PBE | optimized geometry

POSCAR file:
```
LiCuPbSe3
1.0
3.9056 0.0000 0.0000
1.9528 5.9158 0.0000
0.0000 0.0000 11.6757
Pb Se Li Cu
2 6 2 2
Cartesian
0.0000 0.0000 0.0000
0.0000 0.0000 5.8378
1.9528 1.9818 1.0508
3.9056 3.9340 6.8886
3.9056 3.9340 10.6249
3.9056 0.9915 8.7567
1.9528 1.9818 4.7870
1.9528 4.9243 2.9189
1.9528 3.1131 8.7567
3.9056 2.8027 2.9189
3.9056 5.4800 8.7567
1.9528 0.4358 2.9189
```



# 12
LiCuTe2PbSe | GGA-PBE | optimized geometry

POSCAR file:
```
LiCuTe2PbSe
1.0
2.0742 -7.0676 0.0000
2.0742 7.0676 0.0000
0.0000 0.0000 10.9069
Te Li Cu Pb Se
4 2 2 2 2
Cartesian
2.0742 2.2710 6.7378
2.0742 -2.2710 1.2843
2.0742 2.2710 9.6226
2.0742 -2.2710 4.1692
2.0742 -3.0621 8.1802
2.0742 3.0621 2.7267
2.0742 -0.0453 2.7267
2.0742 0.0453 8.1802
0.0000 0.0000 0.0000
0.0000 0.0000 5.4535
2.0742 -5.7755 2.7267
2.0742 5.7755 8.1802
```



Which raw total energy belongs to each record? In order, -3.826 -3.434 -4.039 -4.664 -4.678 -3.793 -3.876 -3.835 -3.787 -3.645 -3.685 -3.532 eV/atom.